# 1
Computed, not measured: a relaxed structure of LaTlBr2 at the PBE-GGA level of DFT.

Energy relative to the elements, uncorrected in meV per atom: -666
VASP energy in eV per atom: -3.326
Offset from the most stable computed form in meV per atom: 519
Calculated volume in Å³ per cell: 488.0

CIF file:
```
data_LaTlBr2
_chemical_formula_sum 'La4 Tl4 Br8'
_cell_length_a 7.873
_cell_length_b 7.873
_cell_length_c 7.873
_cell_angle_alpha 90.00
_cell_angle_beta 90.00
_cell_angle_gamma 90.00
_symmetry_space_group_name_H-M 'F -4 3 m'
_symmetry_Int_Tables_number 216
_symmetry_space_group_name_Hall 'F -4 2 3'
loop_
_atom_site_label
_atom_site_type_symbol
_atom_site_fract_x
_atom_site_fract_y
_atom_site_fract_z
La1 La 0.000 0.000 0.000
Tl1 Tl 0.250 0.250 0.750
Br1 Br 0.000 0.000 0.500
Br2 Br 0.250 0.250 0.250
```

---

# 2
Computed, not measured: a relaxed structure of LaTl2Br5 at the PBE-GGA level of DFT.

Energy relative to the elements, uncorrected in meV per atom: -1456
VASP energy in eV per atom: -3.709
Calculated volume in Å³ per cell: 1110.2

CIF file:
```
data_LaTl2Br5
_chemical_formula_sum 'La4 Tl8 Br20'
_cell_length_a 13.686
_cell_length_b 9.349
_cell_length_c 8.677
_cell_angle_alpha 90.00
_cell_angle_beta 90.00
_cell_angle_gamma 90.00
_symmetry_space_group_name_H-M 'P n m a'
_symmetry_Int_Tables_number 62
loop_
_symmetry_equiv_pos_as_xyz
'x,y,z'
'-x,-y,-z'
'-x+1/2,-y,z+1/2'
'x+1/2,y,-z+1/2'
'x+1/2,-y+1/2,-z+1/2'
'-x+1/2,y+1/2,z+1/2'
'-x,y+1/2,-z'
'x,-y+1/2,z'
loop_
_atom_site_label
_atom_site_type_symbol
_atom_site_fract_x
_atom_site_fract_y
_atom_site_fract_z
La1 La 0.005 0.250 0.077
Tl1 Tl 0.173 0.002 0.550
Br1 Br 0.007 0.250 0.426
Br2 Br 0.078 0.545 0.166
Br3 Br 0.183 0.250 0.876
Br4 Br 0.207 0.750 0.836
```

---

# 3
Computed, not measured: a relaxed structure of LaTl2Br at the PBE-GGA level of DFT.

Energy relative to the elements, uncorrected in meV per atom: -643
VASP energy in eV per atom: -3.476
Offset from the most stable computed form in meV per atom: 39
Calculated volume in Å³ per cell: 421.8

CIF file:
```
data_LaTl2Br
_chemical_formula_sum 'La3 Tl6 Br3'
_cell_length_a 3.9812
_cell_length_b 3.9812
_cell_length_c 30.7267
_cell_angle_alpha 90.00
_cell_angle_beta 90.00
_cell_angle_gamma 120.00
_symmetry_space_group_name_H-M 'R 3 m'
_symmetry_Int_Tables_number 160
_symmetry_space_group_name_Hall 'R 3 -2"'
loop_
_atom_site_label
_atom_site_type_symbol
_atom_site_fract_x
_atom_site_fract_y
_atom_site_fract_z
La1 La 0.0000 0.0000 0.0000
Tl1 Tl 0.0000 0.0000 0.4914
Tl2 Tl 0.0000 0.0000 0.7458
Br1 Br 0.0000 0.0000 0.2665
```

---

Q: Which formula does entry 1 have?
A: LaTlBr2

---

Q: VASP energy of number 1 (LaTlBr2)?
A: -3.326 eV per atom

---

Q: Which of these has the lowest energy relative to the elements, uncorrected?
A: LaTl2Br5